Material: HoScCdGe
Method: DFT, GGA-PBE
State: relaxed

**Volume**: 88 Å³/cell
**E_form**: -0.440 eV/atom
**VASP energy**: -0.1672 Ha/atom
**Crystal system**: cubic

Lattice parameters (Å, degrees): 4.9926 4.9926 4.9926 60.00 60.00 60.00
Fractional coordinates of all 4 atoms:
1 Sc 0.2500 0.2500 0.2500
2 Ge 0.0000 0.0000 0.0000
3 Ho 0.7500 0.7500 0.7500
4 Cd 0.5000 0.5000 0.5000

Material: Mg2Hg2Pd
Method: DFT, GGA-PBE
State: relaxed

**Volume**: 97 Å³/cell
**ΔE to the lowest computed polymorph**: 0 meV/atom
**E_form**: -0.379 eV/atom
**VASP energy**: -0.0800 Ha/atom
**Crystal system**: tetragonal

Lattice parameters (Å, degrees): 3.3462 3.3462 9.0147 100.70 100.70 90.00
Fractional coordinates of all 5 atoms:
1 Mg 0.5849 0.5849 0.1698
2 Mg 0.4151 0.4151 0.8302
3 Hg 0.8110 0.8110 0.6221
4 Hg 0.1890 0.1890 0.3779
5 Pd 0.0000 0.0000 0.0000

Material: MnZn4Rh5
Method: DFT, GGA-PBE
State: relaxed

**Volume**: 138 Å³/cell
**E_form**: -0.349 eV/atom
**VASP energy**: -0.2003 Ha/atom
**Crystal system**: tetragonal

Lattice parameters (Å, degrees): 3.0317 3.0317 15.0157 90.00 90.00 90.00
Fractional coordinates of all 10 atoms:
1 Mn 0.0000 0.0000 0.0000
2 Zn 0.0000 0.0000 0.2011
3 Zn 0.0000 0.0000 0.4001
4 Zn 0.0000 0.0000 0.5999
5 Zn 0.0000 0.0000 0.7989
6 Rh 0.5000 0.5000 0.0976
7 Rh 0.5000 0.5000 0.2993
8 Rh 0.5000 0.5000 0.5000
9 Rh 0.5000 0.5000 0.7007
10 Rh 0.5000 0.5000 0.9024

> Number 3 is which compound?

MnZn4Rh5

> Which of these has the highest volume?

MnZn4Rh5

Copy entry 3 word for word.
Material: MnZn4Rh5
Method: DFT, GGA-PBE
State: relaxed

**Volume**: 138 Å³/cell
**E_form**: -0.349 eV/atom
**VASP energy**: -0.2003 Ha/atom
**Crystal system**: tetragonal

Lattice parameters (Å, degrees): 3.0317 3.0317 15.0157 90.00 90.00 90.00
Fractional coordinates of all 10 atoms:
1 Mn 0.0000 0.0000 0.0000
2 Zn 0.0000 0.0000 0.2011
3 Zn 0.0000 0.0000 0.4001
4 Zn 0.0000 0.0000 0.5999
5 Zn 0.0000 0.0000 0.7989
6 Rh 0.5000 0.5000 0.0976
7 Rh 0.5000 0.5000 0.2993
8 Rh 0.5000 0.5000 0.5000
9 Rh 0.5000 0.5000 0.7007
10 Rh 0.5000 0.5000 0.9024